[1]
{
  "formula": "SrP2Rh",
  "functional": "PBE-GGA",
  "state": "optimized geometry",
  "sg": "No. 71",
  "dos_ef_per_ev_atom": 0.452,
  "e_above_lowest_polymorph_kj_per_mol_fu": 68,
  "formation_enthalpy_0k_ev_per_atom": -0.634,
  "lattice_angstrom": [[5.0231, 0.0053, -0.0042], [-0.3338, 5.0120, 0.0042], [-1.3392, -3.4483, 3.3981]],
  "species": ["P", "Rh", "P", "Sr"],
  "frac_coords": [[0.9153, 0.9153, 0.0000], [0.7500, 0.2500, 0.5000], [0.5847, 0.5847, 0.0000], [0.2500, 0.7500, 0.5000]]
}

=====

[2]
{
  "formula": "SrP2Rh4",
  "functional": "PBE-GGA",
  "state": "optimized geometry",
  "sg": "No. 136",
  "dos_ef_per_ev_atom": 0.537,
  "formation_enthalpy_0k_ev_per_atom": -0.721,
  "lattice_angstrom": [[3.7064, 0.0000, 0.0000], [0.0000, 7.7500, 0.0000], [0.0000, 0.0000, 7.7500]],
  "species": ["Rh", "Rh", "Rh", "Rh", "Rh", "Sr", "P", "P", "Rh", "Rh", "P", "Rh", "Sr", "P"],
  "frac_coords": [[0.5000, 0.1688, 0.5768], [0.5000, 0.8312, 0.4232], [0.5000, 0.5768, 0.1688], [0.0000, 0.0768, 0.3312], [0.0000, 0.9232, 0.6688], [0.5000, 0.0000, 0.0000], [0.0000, 0.2319, 0.7681], [0.5000, 0.7319, 0.7319], [0.0000, 0.6688, 0.9232], [0.0000, 0.3312, 0.0768], [0.5000, 0.2681, 0.2681], [0.5000, 0.4232, 0.8312], [0.0000, 0.5000, 0.5000], [0.0000, 0.7681, 0.2319]]
}

=====

[3]
{
  "formula": "SrP2Rh",
  "functional": "PBE-GGA",
  "state": "optimized geometry",
  "sg": "No. 44",
  "dos_ef_per_ev_atom": 0.735,
  "e_above_lowest_polymorph_kj_per_mol_fu": 263,
  "formation_enthalpy_0k_ev_per_atom": -0.130,
  "lattice_angstrom": [[5.4998, -0.0132, 0.0008], [2.0152, 5.1173, -0.0008], [-2.9568, -3.7309, 2.7541]],
  "species": ["Rh", "Sr", "P", "P"],
  "frac_coords": [[0.5607, 0.5607, 0.0000], [0.2417, 0.7417, 0.5000], [0.9380, 0.9380, 0.0000], [0.7595, 0.2595, 0.5000]]
}

=====

[4]
{
  "formula": "SrPRh",
  "functional": "PBE-GGA",
  "state": "optimized geometry",
  "sg": "No. 216",
  "dos_ef_per_ev_atom": 1.214,
  "formation_enthalpy_0k_ev_per_atom": 0.547,
  "lattice_angstrom": [[-0.1341, -4.2538, -2.1053], [-4.0060, -2.5484, 0.0499], [-2.4875, -0.5914, -4.0009]],
  "species": ["Rh", "Sr", "P"],
  "frac_coords": [[0.5000, 0.5000, 0.5000], [0.2500, 0.2500, 0.2500], [0.0000, 0.0000, 0.0000]]
}

=====

[5]
{
  "formula": "SrPRh2",
  "functional": "PBE-GGA",
  "state": "optimized geometry",
  "sg": "No. 122",
  "dos_ef_per_ev_atom": 0.726,
  "formation_enthalpy_0k_ev_per_atom": -0.467,
  "lattice_angstrom": [[5.0042, 0.0000, 0.0000], [0.0000, 5.0042, 0.0000], [2.5021, 2.5021, 7.5595]],
  "species": ["Rh", "Sr", "Rh", "Rh", "Sr", "Rh", "P", "P"],
  "frac_coords": [[0.4335, 0.1250, 0.2500], [0.7500, 0.2500, 0.5000], [0.3165, 0.6250, 0.2500], [0.3750, 0.5665, 0.7500], [0.0000, 0.0000, 0.0000], [0.8750, 0.6835, 0.7500], [0.2500, 0.7500, 0.5000], [0.5000, 0.5000, 0.0000]]
}

=====

[6]
{
  "formula": "SrP2Rh",
  "functional": "PBE-GGA",
  "state": "optimized geometry",
  "sg": "No. 6",
  "dos_ef_per_ev_atom": 0.477,
  "e_above_lowest_polymorph_kj_per_mol_fu": 98,
  "formation_enthalpy_0k_ev_per_atom": -0.556,
  "lattice_angstrom": [[-2.2323, -2.6000, 2.3419], [2.4264, 0.9813, 3.4022], [-2.6478, 3.9078, 1.8146]],
  "species": ["Rh", "Sr", "P", "P"],
  "frac_coords": [[0.0000, 0.5109, 0.2955], [0.5000, 0.6978, 0.7647], [0.0000, 0.0255, 0.1122], [0.5000, 0.2658, 0.3275]]
}